First-principles (PBE) data for an optimized crystal structure of Li2Mg2ScHg5, as listed in the Alexandria database.

abc: 10.5436 10.5436 3.8353
angles: 90.00 90.00 90.00
Fractional positions:
Li  0.1286  0.3714  0.0000
Li  0.3714  0.8714  0.0000
Li  0.6286  0.1286  0.0000
Li  0.8714  0.6286  0.0000
Mg  0.1656  0.6656  0.0000
Mg  0.3344  0.1656  0.0000
Mg  0.6656  0.8344  0.0000
Mg  0.8344  0.3344  0.0000
Sc  0.0000  0.0000  0.0000
Sc  0.5000  0.5000  0.0000
Hg  0.0000  0.5000  0.5000
Hg  0.1083  0.1855  0.5000
Hg  0.1855  0.8917  0.5000
Hg  0.3145  0.3917  0.5000
Hg  0.3917  0.6855  0.5000
Hg  0.5000  0.0000  0.5000
Hg  0.6083  0.3145  0.5000
Hg  0.6855  0.6083  0.5000
Hg  0.8145  0.1083  0.5000
Hg  0.8917  0.8145  0.5000

Summary:
**E_form**: -233.6 meV per atom
**Space group**: P4/mbm


First-principles (PBE) data for an optimized crystal structure of LiMg2ScHg, as listed in the Alexandria database.

abc: 5.1512 5.1512 4.8457
angles: 90.00 90.00 90.00
Fractional positions:
Li  0.0000  0.0000  0.0000
Mg  0.0000  0.5000  0.5000
Mg  0.5000  0.0000  0.5000
Sc  0.5000  0.5000  0.0000
Hg  0.0000  0.0000  0.5000

Summary:
**E_form**: 244.3 meV per atom
**Space group**: P4/mmm


First-principles (PBE) data for an optimized crystal structure of LiMgSiHg, as listed in the Alexandria database.

abc: 6.6294 6.6294 6.6294
angles: 90.00 90.00 90.00
Fractional positions:
Li  0.0000  0.0000  0.0000
Li  0.0000  0.5000  0.5000
Li  0.5000  0.0000  0.5000
Li  0.5000  0.5000  0.0000
Mg  0.0000  0.0000  0.5000
Mg  0.0000  0.5000  0.0000
Mg  0.5000  0.0000  0.0000
Mg  0.5000  0.5000  0.5000
Si  0.2500  0.2500  0.7500
Si  0.2500  0.7500  0.2500
Si  0.7500  0.2500  0.2500
Si  0.7500  0.7500  0.7500
Hg  0.2500  0.2500  0.2500
Hg  0.2500  0.7500  0.7500
Hg  0.7500  0.2500  0.7500
Hg  0.7500  0.7500  0.2500

Summary:
**E_tot**: -38.30 eV/cell
**Space group**: F-43m


First-principles (PBE) data for an optimized crystal structure of LiSm2MgHg4, as listed in the Alexandria database.

abc: 8.8551 8.8551 8.8551
angles: 33.58 33.58 33.58
Fractional positions:
Li  0.0000  0.0000  0.0000
Sm  0.2491  0.2491  0.2491
Sm  0.7509  0.7509  0.7509
Mg  0.5000  0.5000  0.5000
Hg  0.1226  0.1226  0.1226
Hg  0.3732  0.3732  0.3732
Hg  0.6268  0.6268  0.6268
Hg  0.8774  0.8774  0.8774

Summary:
**E_form**: -471.3 meV per atom
**Space group**: R-3m


First-principles (PBE) data for an optimized crystal structure of LiSmMgHg, as listed in the Alexandria database.

abc: 7.1416 7.1416 7.1416
angles: 90.00 90.00 90.00
Fractional positions:
Li  0.0000  0.0000  0.0000
Li  0.0000  0.5000  0.5000
Li  0.5000  0.0000  0.5000
Li  0.5000  0.5000  0.0000
Sm  0.2500  0.2500  0.7500
Sm  0.2500  0.7500  0.2500
Sm  0.7500  0.2500  0.2500
Sm  0.7500  0.7500  0.7500
Mg  0.2500  0.2500  0.2500
Mg  0.2500  0.7500  0.7500
Mg  0.7500  0.2500  0.7500
Mg  0.7500  0.7500  0.2500
Hg  0.0000  0.0000  0.5000
Hg  0.0000  0.5000  0.0000
Hg  0.5000  0.0000  0.0000
Hg  0.5000  0.5000  0.5000

Summary:
**E_form**: -327.1 meV per atom
**Space group**: F-43m


First-principles (PBE) data for an optimized crystal structure of LiSmMg2Hg2, as listed in the Alexandria database.

abc: 4.8741 4.8741 6.6200
angles: 90.00 90.00 120.00
Fractional positions:
Li  0.0000  0.0000  0.0000
Sm  0.0000  0.0000  0.5000
Mg  0.3333  0.6667  0.1774
Mg  0.6667  0.3333  0.8226
Hg  0.3333  0.6667  0.7340
Hg  0.6667  0.3333  0.2660

Summary:
**E_form**: -345.2 meV per atom
**Space group**: P-3m1


First-principles (PBE) data for an optimized crystal structure of LiSmMg2Hg4, as listed in the Alexandria database.

abc: 9.0531 9.0531 9.0531
angles: 31.28 31.28 31.28
Fractional positions:
Li  0.0000  0.0000  0.0000
Sm  0.5000  0.5000  0.5000
Mg  0.2548  0.2548  0.2548
Mg  0.7452  0.7452  0.7452
Hg  0.1136  0.1136  0.1136
Hg  0.3702  0.3702  0.3702
Hg  0.6298  0.6298  0.6298
Hg  0.8864  0.8864  0.8864

Summary:
**E_form**: -370.8 meV per atom
**Space group**: R-3m


First-principles (PBE) data for an optimized crystal structure of Li2SmMgHg2, as listed in the Alexandria database.

abc: 4.7091 4.7091 6.8338
angles: 90.00 90.00 120.00
Fractional positions:
Li  0.3333  0.6667  0.1762
Li  0.6667  0.3333  0.8238
Sm  0.0000  0.0000  0.5000
Mg  0.0000  0.0000  0.0000
Hg  0.3333  0.6667  0.7543
Hg  0.6667  0.3333  0.2457

Summary:
**E_form**: -336.1 meV per atom
**Space group**: P-3m1


First-principles (PBE) data for an optimized crystal structure of LiMgSn2Hg4, as listed in the Alexandria database.

abc: 7.2179 7.2132 5.9625
angles: 65.64 65.55 48.81
Fractional positions:
Li  0.0000  0.0000  0.0000
Mg  0.7500  0.7500  0.7500
Sn  0.2500  0.2500  0.2500
Sn  0.5000  0.5000  0.5000
Hg  0.2391  0.2391  0.7609
Hg  0.5061  0.5061  0.9939
Hg  0.7609  0.7609  0.2391
Hg  0.9939  0.9939  0.5061

Summary:
**E_form**: -22.2 meV per atom
**Space group**: F222


First-principles (PBE) data for an optimized crystal structure of LiMgSnHg4, as listed in the Alexandria database.

abc: 7.7907 7.7907 10.1089
angles: 90.00 90.00 136.33
Fractional positions:
Li  0.1075  0.8925  0.7500
Li  0.8925  0.1075  0.2500
Mg  0.3104  0.6896  0.7500
Mg  0.6896  0.3104  0.2500
Sn  0.2983  0.7017  0.2500
Sn  0.7017  0.2983  0.7500
Hg  0.0000  0.5000  0.0000
Hg  0.0000  0.5000  0.5000
Hg  0.0807  0.9193  0.2500
Hg  0.4987  0.5013  0.2500
Hg  0.5000  0.0000  0.0000
Hg  0.5000  0.0000  0.5000
Hg  0.5013  0.4987  0.7500
Hg  0.9193  0.0807  0.7500

Summary:
**E_form**: -7.2 meV per atom
**Space group**: Cmcm


First-principles (PBE) data for an optimized crystal structure of LiMg2SnHg4, as listed in the Alexandria database.

abc: 8.8561 8.8561 8.8561
angles: 32.50 32.50 32.50
Fractional positions:
Li  0.0000  0.0000  0.0000
Mg  0.2493  0.2493  0.2493
Mg  0.7507  0.7507  0.7507
Sn  0.5000  0.5000  0.5000
Hg  0.1145  0.1145  0.1145
Hg  0.3673  0.3673  0.3673
Hg  0.6327  0.6327  0.6327
Hg  0.8855  0.8855  0.8855

Summary:
**E_form**: -178.2 meV per atom
**Space group**: R-3m


First-principles (PBE) data for an optimized crystal structure of Sr2LiMgHg6, as listed in the Alexandria database.

abc: 7.3621 7.3621 7.3277
angles: 119.72 119.72 90.41
Fractional positions:
Sr  0.2500  0.7500  0.0000
Sr  0.7500  0.2500  0.0000
Li  0.0000  0.0000  0.5000
Mg  0.5000  0.5000  0.5000
Hg  0.2395  0.2395  0.4999
Hg  0.2398  0.2398  0.9794
Hg  0.2400  0.7600  0.5000
Hg  0.7600  0.2400  0.5000
Hg  0.7602  0.7602  0.0206
Hg  0.7605  0.7605  0.5001

Summary:
**E_form**: -274.1 meV per atom
**Space group**: C2/m


Result set for density of states at the Fermi level: 0.327; 0.723; 0.309; 0.384; 0.598; 0.525; 0.248; 0.821; 0.382; 0.454; 0.381; 0.368 states/eV per atom, one per record in the order listed.